[1]
Ac12Pd3Rh5 | PBE | relaxed

Unit cell a=15.4550 b=15.4550 c=15.4550 alpha=109.47 beta=109.47 gamma=109.47
Closest atoms and distances in Å follow each position.
Fractional positions:
1 Ac 0.0385 0.2148 0.1266  2 Rh 2.75-2.96
2 Ac 0.0385 0.3237 0.9119  2 Rh 2.75-2.96
3 Ac 0.0881 0.6266 0.4118  2 Rh 2.75-2.96
4 Ac 0.0882 0.7148 0.6763  2 Rh 2.75-2.96
5 Ac 0.0882 0.8734 0.4119  2 Rh 2.75-2.96
6 Ac 0.0881 0.9615 0.6763  2 Rh 2.75-2.96
7 Ac 0.1266 0.0385 0.2148  2 Rh 2.75-2.96
8 Ac 0.1266 0.5881 0.9118  2 Rh 2.75-2.96
9 Ac 0.1763 0.2148 0.5882  2 Rh 2.75-2.96
10 Ac 0.1763 0.4615 0.5881  2 Rh 2.75-2.96
11 Ac 0.2148 0.1266 0.0385  2 Rh 2.75-2.96
12 Ac 0.2148 0.5882 0.1763  2 Rh 2.75-2.96
13 Ac 0.2852 0.3237 0.9118  2 Rh 2.75-2.96
14 Ac 0.2852 0.4615 0.3734  2 Rh 2.75-2.96
15 Ac 0.3237 0.9119 0.0385  2 Rh 2.75-2.96
16 Ac 0.3237 0.9118 0.2852  2 Rh 2.75-2.96
17 Ac 0.3734 0.2852 0.4615  2 Rh 2.75-2.96
18 Ac 0.3734 0.5882 0.9119  2 Rh 2.75-2.96
19 Ac 0.4118 0.0881 0.6266  2 Rh 2.75-2.96
20 Ac 0.4119 0.0882 0.8734  2 Rh 2.75-2.96
21 Ac 0.4119 0.8237 0.5385  2 Rh 2.75-2.96
22 Ac 0.4118 0.8237 0.7852  2 Rh 2.75-2.96
23 Ac 0.4615 0.3734 0.2852  2 Rh 2.75-2.96
24 Ac 0.4615 0.5881 0.1763  2 Rh 2.75-2.96
25 Ac 0.5385 0.4119 0.8237  2 Rh 2.75-2.96
26 Ac 0.5385 0.6266 0.7148  2 Rh 2.75-2.96
27 Ac 0.5882 0.1763 0.2148  2 Rh 2.75-2.96
28 Ac 0.5881 0.1763 0.4615  2 Rh 2.75-2.96
29 Ac 0.5881 0.9118 0.1266  2 Rh 2.75-2.96
30 Ac 0.5882 0.9119 0.3734  2 Rh 2.75-2.96
31 Ac 0.6266 0.4118 0.0881  2 Rh 2.75-2.96
32 Ac 0.6266 0.7148 0.5385  2 Rh 2.75-2.96
33 Ac 0.6763 0.0882 0.7148  2 Rh 2.75-2.96
34 Ac 0.6763 0.0881 0.9615  2 Rh 2.75-2.96
35 Ac 0.7148 0.5385 0.6266  2 Rh 2.75-2.96
36 Ac 0.7148 0.6763 0.0882  2 Rh 2.75-2.96
37 Ac 0.7852 0.4118 0.8237  2 Rh 2.75-2.96
38 Ac 0.7852 0.8734 0.9615  2 Rh 2.75-2.96
39 Ac 0.8237 0.5385 0.4119  2 Rh 2.75-2.96
40 Ac 0.8237 0.7852 0.4118  2 Rh 2.75-2.96
41 Ac 0.8734 0.4119 0.0882  2 Rh 2.75-2.96
42 Ac 0.8734 0.9615 0.7852  2 Rh 2.75-2.96
43 Ac 0.9119 0.0385 0.3237  2 Rh 2.75-2.96
44 Ac 0.9118 0.1266 0.5881  2 Rh 2.75-2.96
45 Ac 0.9118 0.2852 0.3237  2 Rh 2.75-2.96
46 Ac 0.9119 0.3734 0.5882  2 Rh 2.75-2.96
47 Ac 0.9615 0.6763 0.0881  2 Rh 2.75-2.96
48 Ac 0.9615 0.7852 0.8734  2 Rh 2.75-2.96
49 Pd 0.1250 0.2500 0.3750  8 Ac 3.39
50 Pd 0.1250 0.3750 0.7500  8 Ac 3.39
51 Pd 0.2500 0.3750 0.1250  8 Ac 3.39
52 Pd 0.2500 0.8750 0.6250  8 Ac 3.39
53 Pd 0.3750 0.1250 0.2500  8 Ac 3.39
54 Pd 0.3750 0.7500 0.1250  8 Ac 3.39
55 Pd 0.6250 0.2500 0.8750  8 Ac 3.39
56 Pd 0.6250 0.8750 0.7500  8 Ac 3.39
57 Pd 0.7500 0.1250 0.3750  8 Ac 3.39
58 Pd 0.7500 0.6250 0.8750  8 Ac 3.39
59 Pd 0.8750 0.6250 0.2500  8 Ac 3.39
60 Pd 0.8750 0.7500 0.6250  8 Ac 3.39
61 Rh 0.0000 0.0000 0.0000  6 Ac 2.96
62 Rh 0.0000 0.0000 0.5000  6 Ac 2.96
63 Rh 0.0000 0.5000 0.0000  6 Ac 2.96
64 Rh 0.0000 0.5000 0.5000  6 Ac 2.96
65 Rh 0.1250 0.7500 0.8750  4 Ac 2.75
66 Rh 0.1250 0.8750 0.2500  4 Ac 2.75
67 Rh 0.2500 0.1250 0.8750  4 Ac 2.75
68 Rh 0.2500 0.6250 0.3750  4 Ac 2.75
69 Rh 0.3750 0.2500 0.6250  4 Ac 2.75
70 Rh 0.3750 0.6250 0.7500  4 Ac 2.75
71 Rh 0.5000 0.0000 0.0000  6 Ac 2.96
72 Rh 0.5000 0.0000 0.5000  6 Ac 2.96
73 Rh 0.5000 0.5000 0.0000  6 Ac 2.96
74 Rh 0.5000 0.5000 0.5000  6 Ac 2.96
75 Rh 0.6250 0.3750 0.2500  4 Ac 2.75
76 Rh 0.6250 0.7500 0.3750  4 Ac 2.75
77 Rh 0.7500 0.3750 0.6250  4 Ac 2.75
78 Rh 0.7500 0.8750 0.1250  4 Ac 2.75
79 Rh 0.8750 0.1250 0.7500  4 Ac 2.75
80 Rh 0.8750 0.2500 0.1250  4 Ac 2.75

Formation energy (eV/atom): -0.398
E (eV/atom): -5.480
Total magnetic moment (μB per atom): 0.000
Mass density (g/cm³): 8.316

---

[2]
Pu2PbS4 | PBE | relaxed

Unit cell a=8.2882 b=8.2882 c=8.2882 alpha=119.94 beta=119.94 gamma=90.10
Closest atoms and distances in Å follow each position.
Fractional positions:
1 Pu 0.0000 0.0000 0.0000  6 S 2.77
2 Pu 0.0000 0.0000 0.5000  6 S 2.77
3 Pu 0.0000 0.5000 0.0000  6 S 2.77
4 Pu 0.5000 0.0000 0.5000  6 S 2.77
5 Pb 0.3750 0.6250 0.7500  4 S 2.83
6 Pb 0.6250 0.3750 0.2500  4 S 2.83
7 S 0.2068 0.2359 0.9710  3 Pu 2.77, 1 Pb 2.83
8 S 0.2351 0.7641 0.4710  3 Pu 2.77, 1 Pb 2.83
9 S 0.2359 0.2068 0.4710  3 Pu 2.77, 1 Pb 2.83
10 S 0.2359 0.7649 0.0290  3 Pu 2.77, 1 Pb 2.83
11 S 0.7641 0.2351 0.9710  3 Pu 2.77, 1 Pb 2.83
12 S 0.7641 0.7932 0.5290  3 Pu 2.77, 1 Pb 2.83
13 S 0.7649 0.2359 0.5290  3 Pu 2.77, 1 Pb 2.83
14 S 0.7932 0.7641 0.0290  3 Pu 2.77, 1 Pb 2.83

E (eV/atom): -8.284
Total magnetic moment (μB per atom): 1.429
Formation energy (no corrections) (eV/atom): -1.301
Mass density (g/cm³): 6.787
Offset from the most stable computed form (meV/atom): 12.8

---

[3]
SiSeCl2 | PBE | relaxed

Unit cell a=5.3466 b=3.6586 c=6.6736 alpha=90.00 beta=104.21 gamma=90.00
Closest atoms and distances in Å follow each position.
Fractional positions:
1 Si 0.0000 0.0000 0.0000  1 Cl 2.09
2 Se 0.8420 0.5000 0.7512  1 Cl 2.27, 2 Si 2.48
3 Cl 0.4038 0.5000 0.6538  1 Se 2.27
4 Cl 0.7245 0.0000 0.1754  1 Si 2.09

E (eV/atom): -3.457
Total magnetic moment (μB per atom): 0.000
Formation energy (no corrections) (eV/atom): -0.307
Mass density (g/cm³): 2.335
Offset from the most stable computed form (meV/atom): 0.0

---

[4]
BeSnMoAu2 | PBE | relaxed

Unit cell a=4.3829 b=4.3829 c=4.8606 alpha=90.00 beta=90.00 gamma=90.00
Closest atoms and distances in Å follow each position.
Fractional positions:
1 Be 0.0000 0.0000 0.0000  4 Au 2.19, 2 Sn 2.43
2 Sn 0.0000 0.0000 0.5000  2 Be 2.43
3 Mo 0.5000 0.5000 0.5000  4 Sn 3.10, 8 Au 3.27
4 Au 0.0000 0.5000 0.0000  2 Be 2.19
5 Au 0.5000 0.0000 0.0000  2 Be 2.19

Formation energy (eV/atom): 0.667
E (eV/atom): -4.356
Total magnetic moment (μB per atom): 0.522
Mass density (g/cm³): 10.984

---

[5]
KCoSi2 | PBE | relaxed

Unit cell a=7.5516 b=2.9293 c=7.7914 alpha=90.00 beta=114.53 gamma=90.00
Closest atoms and distances in Å follow each position.
Fractional positions:
1 K 0.0000 0.0000 0.0000  2 K 2.93, 1 Si 3.27
2 K 0.5000 0.5000 0.0000  2 K 2.93, 1 Si 3.27
3 Co 0.2729 0.5000 0.4935  6 Si 2.36-2.40
4 Co 0.7729 0.0000 0.4935  6 Si 2.36-2.40
5 Si 0.1219 0.0000 0.6325  3 Co 2.38-2.40, 2 Si 2.50
6 Si 0.4261 0.0000 0.3599  3 Co 2.36-2.38, 2 Si 2.50
7 Si 0.6219 0.5000 0.6325  3 Co 2.38-2.40, 2 Si 2.50
8 Si 0.9261 0.5000 0.3599  3 Co 2.36-2.38, 2 Si 2.50

E (eV/atom): -4.760
Total magnetic moment (μB per atom): 0.206
Formation energy (no corrections) (eV/atom): 0.002
Mass density (g/cm³): 3.266
Offset from the most stable computed form (meV/atom): 20.1

---

[6]
LiDyCdSi | PBE | relaxed

Unit cell a=6.9104 b=6.9104 c=6.9104 alpha=90.00 beta=90.00 gamma=90.00
Closest atoms and distances in Å follow each position.
Fractional positions:
1 Li 0.0000 0.0000 0.0000  4 Si 2.99, 4 Cd 2.99
2 Li 0.0000 0.5000 0.5000  4 Si 2.99, 4 Cd 2.99
3 Li 0.5000 0.0000 0.5000  4 Si 2.99, 4 Cd 2.99
4 Li 0.5000 0.5000 0.0000  4 Si 2.99, 4 Cd 2.99
5 Dy 0.0000 0.0000 0.5000  4 Cd 2.99, 4 Si 2.99
6 Dy 0.0000 0.5000 0.0000  4 Cd 2.99, 4 Si 2.99
7 Dy 0.5000 0.0000 0.0000  4 Cd 2.99, 4 Si 2.99
8 Dy 0.5000 0.5000 0.5000  4 Cd 2.99, 4 Si 2.99
9 Cd 0.2500 0.2500 0.7500  4 Li 2.99, 4 Dy 2.99
10 Cd 0.2500 0.7500 0.2500  4 Li 2.99, 4 Dy 2.99
11 Cd 0.7500 0.2500 0.2500  4 Li 2.99, 4 Dy 2.99
12 Cd 0.7500 0.7500 0.7500  4 Li 2.99, 4 Dy 2.99
13 Si 0.2500 0.2500 0.2500  4 Dy 2.99, 4 Li 2.99
14 Si 0.2500 0.7500 0.7500  4 Dy 2.99, 4 Li 2.99
15 Si 0.7500 0.2500 0.7500  4 Dy 2.99, 4 Li 2.99
16 Si 0.7500 0.7500 0.2500  4 Dy 2.99, 4 Li 2.99

E (eV/atom): -3.526
Total magnetic moment (μB per atom): 0.000
Formation energy (no corrections) (eV/atom): -0.312
Mass density (g/cm³): 6.238

---

[7]
Pm3Dy6Y2Sc | PBE | relaxed

Unit cell a=6.1558 b=6.1558 c=11.7620 alpha=95.00 beta=95.00 gamma=119.98
Closest atoms and distances in Å follow each position.
Fractional positions:
1 Pm 0.0000 0.0000 0.0000  6 Pm 3.55, 6 Dy 3.59-3.60
2 Pm 0.3334 0.6666 0.0000  6 Pm 3.55-3.56, 6 Dy 3.59-3.61
3 Pm 0.6666 0.3334 0.0000  6 Pm 3.55-3.56, 6 Dy 3.59-3.61
4 Dy 0.0886 0.4188 0.2548  1 Sc 3.49, 2 Y 3.51, 6 Dy 3.52-3.57, 3 Pm 3.59-3.61
5 Dy 0.2511 0.2511 0.7454  1 Sc 3.50, 2 Y 3.51, 6 Dy 3.52-3.57, 3 Pm 3.59-3.60
6 Dy 0.4188 0.0886 0.2548  1 Sc 3.49, 2 Y 3.51, 6 Dy 3.52-3.57, 3 Pm 3.59-3.61
7 Dy 0.5812 0.9114 0.7452  1 Sc 3.49, 2 Y 3.51, 6 Dy 3.52-3.57, 3 Pm 3.59-3.61
8 Dy 0.7489 0.7489 0.2546  1 Sc 3.50, 2 Y 3.51, 6 Dy 3.52-3.57, 3 Pm 3.59-3.60
9 Dy 0.9114 0.5812 0.7452  1 Sc 3.49, 2 Y 3.51, 6 Dy 3.52-3.57, 3 Pm 3.59-3.61
10 Y 0.1665 0.8335 0.5000  6 Dy 3.51, 3 Y 3.55-3.56, 3 Sc 3.55-3.56
11 Y 0.8335 0.1665 0.5000  6 Dy 3.51, 3 Y 3.55-3.56, 3 Sc 3.55-3.56
12 Sc 0.5000 0.5000 0.5000  6 Dy 3.49-3.50, 6 Y 3.55-3.56

Formation energy (eV/atom): 0.028
E (eV/atom): -5.065
Total magnetic moment (μB per atom): 0.000
Mass density (g/cm³): 7.132

---

[8]
K2Mn2Tc | PBE | relaxed

Unit cell a=9.7446 b=9.7446 c=2.5775 alpha=90.00 beta=90.00 gamma=90.00
Closest atoms and distances in Å follow each position.
Fractional positions:
1 K 0.2156 0.2844 0.0000  2 K 2.58
2 K 0.2844 0.7844 0.0000  2 K 2.58
3 K 0.7156 0.2156 0.0000  2 K 2.58
4 K 0.7844 0.7156 0.0000  2 K 2.58
5 Mn 0.0674 0.5674 0.5000  1 Mn 1.86
6 Mn 0.4326 0.0674 0.5000  1 Mn 1.86
7 Mn 0.5674 0.9326 0.5000  1 Mn 1.86
8 Mn 0.9326 0.4326 0.5000  1 Mn 1.86
9 Tc 0.0000 0.0000 0.5000  2 Tc 2.58
10 Tc 0.5000 0.5000 0.5000  2 Tc 2.58

Formation energy (eV/atom): 1.757
E (eV/atom): -4.423
Total magnetic moment (μB per atom): 0.559
Mass density (g/cm³): 3.882
Offset from the most stable computed form (meV/atom): 212.2